{"formula": "MnFeI2", "functional": "GGA-PBE", "state": "optimized geometry", "lattice_angstrom": [[-2.994, 2.994, 5.997], [2.994, -2.994, 5.997], [2.994, 2.994, -5.997]], "species": ["Mn", "Mn", "Fe", "Fe", "I", "I", "I", "I"], "fractional_positions": [[0.000, 0.000, 0.000], [0.750, 0.250, 0.500], [0.250, 0.750, 0.500], [0.500, 0.500, 0.000], [0.155, 0.625, 0.030], [0.375, 0.405, 0.530], [0.595, 0.125, 0.970], [0.875, 0.845, 0.470]], "formation_energy_uncorrected_mev_per_atom": 620, "space_group": "No. 122", "magmom_total_mub_per_fu": 4.45, "relative_energy_mev_per_atom": 0}